No. 1
# PBE-GGA Tm2PaAg, relaxed
data_Tm2PaAg
_symmetry_space_group_name_H-M 'R -3 m'
_symmetry_Int_Tables_number 166
_symmetry_space_group_name_Hall '-R 3 2"'
_cell_length_a 3.2061
_cell_length_b 3.2061
_cell_length_c 34.1251
_cell_angle_alpha 90.00
_cell_angle_beta 90.00
_cell_angle_gamma 120.00
loop_
_atom_site_label
_atom_site_type_symbol
_atom_site_fract_x
_atom_site_fract_y
_atom_site_fract_z
Tm1 Tm 0.0000 0.0000 0.0931
Pa1 Pa 0.0000 0.0000 0.0000
Ag1 Ag 0.0000 0.0000 0.5000
# ΔH_f (0 K): 0.237 eV per atom

---

No. 2
# PBE-GGA TmPaAg, relaxed
data_TmPaAg
_symmetry_space_group_name_H-M 'C m c m'
_symmetry_Int_Tables_number 63
_symmetry_space_group_name_Hall '-C 2c 2'
_cell_length_a 3.262
_cell_length_b 17.157
_cell_length_c 5.179
_cell_angle_alpha 90.00
_cell_angle_beta 90.00
_cell_angle_gamma 90.00
loop_
_atom_site_label
_atom_site_type_symbol
_atom_site_fract_x
_atom_site_fract_y
_atom_site_fract_z
Tm1 Tm 0.000 0.088 0.250
Pa1 Pa 0.000 0.231 0.750
Ag1 Ag 0.000 0.436 0.250
# ΔH_f (0 K): -0.058 eV per atom

---

No. 3
# PBE-GGA Pa2VAg, relaxed
data_Pa2VAg
_symmetry_space_group_name_H-M 'R -3 m'
_symmetry_Int_Tables_number 166
_symmetry_space_group_name_Hall '-R 3 2"'
_cell_length_a 2.9999
_cell_length_b 2.9999
_cell_length_c 33.2273
_cell_angle_alpha 90.00
_cell_angle_beta 90.00
_cell_angle_gamma 120.00
loop_
_atom_site_label
_atom_site_type_symbol
_atom_site_fract_x
_atom_site_fract_y
_atom_site_fract_z
Pa1 Pa 0.0000 0.0000 0.0927
V1 V 0.0000 0.0000 0.5000
Ag1 Ag 0.0000 0.0000 0.0000
# ΔH_f (0 K): 0.402 eV per atom

---

No. 4
# PBE-GGA YPaAg, relaxed
data_YPaAg
_symmetry_space_group_name_H-M 'C m c m'
_symmetry_Int_Tables_number 63
_symmetry_space_group_name_Hall '-C 2c 2'
_cell_length_a 3.323
_cell_length_b 17.029
_cell_length_c 5.281
_cell_angle_alpha 90.00
_cell_angle_beta 90.00
_cell_angle_gamma 90.00
loop_
_atom_site_label
_atom_site_type_symbol
_atom_site_fract_x
_atom_site_fract_y
_atom_site_fract_z
Y1 Y 0.000 0.079 0.250
Pa1 Pa 0.000 0.239 0.750
Ag1 Ag 0.000 0.418 0.250
# ΔH_f (0 K): -0.040 eV per atom

---

No. 5
# PBE-GGA Pa2ZnAg, relaxed
data_Pa2ZnAg
_symmetry_space_group_name_H-M 'R -3 m'
_symmetry_Int_Tables_number 166
_symmetry_space_group_name_Hall '-R 3 2"'
_cell_length_a 3.0307
_cell_length_b 3.0307
_cell_length_c 34.1964
_cell_angle_alpha 90.00
_cell_angle_beta 90.00
_cell_angle_gamma 120.00
loop_
_atom_site_label
_atom_site_type_symbol
_atom_site_fract_x
_atom_site_fract_y
_atom_site_fract_z
Pa1 Pa 0.0000 0.0000 0.0915
Zn1 Zn 0.0000 0.0000 0.5000
Ag1 Ag 0.0000 0.0000 0.0000
# ΔH_f (0 K): 0.292 eV per atom

---

No. 6
# PBE-GGA Pa2ZnAg, relaxed
data_Pa2ZnAg
_symmetry_space_group_name_H-M 'P 4/m m m'
_symmetry_Int_Tables_number 123
_symmetry_space_group_name_Hall '-P 4 2'
_cell_length_a 3.043
_cell_length_b 3.043
_cell_length_c 9.187
_cell_angle_alpha 90.00
_cell_angle_beta 90.00
_cell_angle_gamma 90.00
loop_
_atom_site_label
_atom_site_type_symbol
_atom_site_fract_x
_atom_site_fract_y
_atom_site_fract_z
Pa1 Pa 0.000 0.000 0.240
Zn1 Zn 0.500 0.500 0.000
Ag1 Ag 0.500 0.500 0.500
# ΔH_f (0 K): 0.098 eV per atom

---

No. 7
# PBE-GGA PaZn3Ag, relaxed
data_PaZn3Ag
_symmetry_space_group_name_H-M 'C m c m'
_symmetry_Int_Tables_number 63
_symmetry_space_group_name_Hall '-C 2c 2'
_cell_length_a 3.039
_cell_length_b 26.426
_cell_length_c 4.555
_cell_angle_alpha 90.00
_cell_angle_beta 90.00
_cell_angle_gamma 90.00
loop_
_atom_site_label
_atom_site_type_symbol
_atom_site_fract_x
_atom_site_fract_y
_atom_site_fract_z
Pa1 Pa 0.000 0.076 0.250
Zn1 Zn 0.000 0.319 0.750
Zn2 Zn 0.000 0.370 0.250
Zn3 Zn 0.000 0.475 0.250
Ag1 Ag 0.000 0.219 0.750
# ΔH_f (0 K): -0.042 eV per atom

---

No. 8
# PBE-GGA Pa2ZnAg, relaxed
data_Pa2ZnAg
_symmetry_space_group_name_H-M 'P 4/m m m'
_symmetry_Int_Tables_number 123
_symmetry_space_group_name_Hall '-P 4 2'
_cell_length_a 4.298
_cell_length_b 4.298
_cell_length_c 4.627
_cell_angle_alpha 90.00
_cell_angle_beta 90.00
_cell_angle_gamma 90.00
loop_
_atom_site_label
_atom_site_type_symbol
_atom_site_fract_x
_atom_site_fract_y
_atom_site_fract_z
Pa1 Pa 0.000 0.500 0.000
Zn1 Zn 0.000 0.000 0.500
Ag1 Ag 0.500 0.500 0.500
# ΔH_f (0 K): 0.099 eV per atom

---

No. 9
# PBE-GGA Pa3Zn9Ag2, relaxed
data_Pa3Zn9Ag2
_symmetry_space_group_name_H-M 'I m m m'
_symmetry_Int_Tables_number 71
_symmetry_space_group_name_Hall '-I 2 2'
_cell_length_a 4.440
_cell_length_b 8.813
_cell_length_c 13.100
_cell_angle_alpha 90.00
_cell_angle_beta 90.00
_cell_angle_gamma 90.00
loop_
_atom_site_label
_atom_site_type_symbol
_atom_site_fract_x
_atom_site_fract_y
_atom_site_fract_z
Pa1 Pa 0.000 0.000 0.000
Pa2 Pa 0.000 0.000 0.287
Zn1 Zn 0.000 0.283 0.144
Zn2 Zn 0.000 0.361 0.343
Zn3 Zn 0.000 0.500 0.000
Ag1 Ag 0.000 0.177 0.500
# ΔH_f (0 K): -0.076 eV per atom

---

No. 10
# PBE-GGA PaZn5Ag4, relaxed
data_PaZn5Ag4
_symmetry_space_group_name_H-M 'P 4/m m m'
_symmetry_Int_Tables_number 123
_symmetry_space_group_name_Hall '-P 4 2'
_cell_length_a 3.187
_cell_length_b 3.187
_cell_length_c 16.832
_cell_angle_alpha 90.00
_cell_angle_beta 90.00
_cell_angle_gamma 90.00
loop_
_atom_site_label
_atom_site_type_symbol
_atom_site_fract_x
_atom_site_fract_y
_atom_site_fract_z
Pa1 Pa 0.000 0.000 0.000
Zn1 Zn 0.500 0.500 0.125
Zn2 Zn 0.500 0.500 0.312
Zn3 Zn 0.500 0.500 0.500
Ag1 Ag 0.000 0.000 0.217
Ag2 Ag 0.000 0.000 0.405
# ΔH_f (0 K): -0.027 eV per atom

---

No. 11
# PBE-GGA PaZn11Ag, relaxed
data_PaZn11Ag
_symmetry_space_group_name_H-M 'C 1 2/m 1'
_symmetry_Int_Tables_number 12
_cell_length_a 5.262
_cell_length_b 12.618
_cell_length_c 6.862
_cell_angle_alpha 90.00
_cell_angle_beta 112.41
_cell_angle_gamma 90.00
loop_
_symmetry_equiv_pos_as_xyz
'x,y,z'
'-x,-y,-z'
'-x,y,-z'
'x,-y,z'
'x+1/2,y+1/2,z'
'-x+1/2,-y+1/2,-z'
'-x+1/2,y+1/2,-z'
'x+1/2,-y+1/2,z'
loop_
_atom_site_label
_atom_site_type_symbol
_atom_site_fract_x
_atom_site_fract_y
_atom_site_fract_z
Pa1 Pa 0.000 0.000 0.000
Zn1 Zn 0.000 0.500 0.500
Zn2 Zn 0.100 0.391 0.213
Zn3 Zn 0.178 0.178 0.351
Zn4 Zn 0.250 0.250 0.000
Ag1 Ag 0.000 0.000 0.500
# ΔH_f (0 K): -0.063 eV per atom

---

No. 12
# PBE-GGA Pa3Zn7Ag2, relaxed
data_Pa3Zn7Ag2
_symmetry_space_group_name_H-M 'R -3 m'
_symmetry_Int_Tables_number 166
_symmetry_space_group_name_Hall '-R 3 2"'
_cell_length_a 5.3749
_cell_length_b 5.3749
_cell_length_c 26.8335
_cell_angle_alpha 90.00
_cell_angle_beta 90.00
_cell_angle_gamma 120.00
loop_
_atom_site_label
_atom_site_type_symbol
_atom_site_fract_x
_atom_site_fract_y
_atom_site_fract_z
Pa1 Pa 0.0000 0.0000 0.0000
Pa2 Pa 0.0000 0.0000 0.1499
Zn1 Zn 0.0000 0.0000 0.5000
Zn2 Zn 0.0058 0.5029 0.9167
Ag1 Ag 0.0000 0.0000 0.3355
# ΔH_f (0 K): -0.021 eV per atom